[1]
# Rb2HgSF6

A relaxed Rb2HgSF6 crystal (PBE, Alexandria via LeMat-Bulk).

Cell lengths 6.2434, 6.2434, 6.7894 Å; angles 62.63, 62.63, 90.00 degrees
Last column: nearest neighbours and their distance in Å.
Positions (direct):
S  0.5000  0.5000  0.0000  4 F 1.92
Hg  0.0000  0.0000  0.0000  2 F 2.09
Rb  0.7500  0.2500  0.5000  12 F 3.16-3.41
Rb  0.2500  0.7500  0.5000  12 F 3.16-3.41
F  0.2025  0.2025  0.5949  1 Hg 2.09
F  0.7975  0.7975  0.4051  1 Hg 2.09
F  0.2827  0.2827  0.0000  1 S 1.92
F  0.7173  0.7173  0.0000  1 S 1.92
F  0.7173  0.2827  0.0000  1 S 1.92
F  0.2827  0.7173  0.0000  1 S 1.92

Computed properties:
* calculated total energy: -3.590 eV per atom
* density of states at the Fermi level: 0.00 states/eV per cell
* ΔE_f (raw): -1.831 eV per atom

***

[2]
# LaCo2As

A relaxed LaCo2As crystal (PBE, Alexandria via LeMat-Bulk).

Cell lengths 3.2084, 3.2071, 6.6980 Å; angles 90.00, 90.00, 90.00 degrees
Last column: nearest neighbours and their distance in Å.
Positions (direct):
As  0.5000  0.5000  0.8351  5 Co 2.37-2.51
Co  0.0000  0.0000  0.9960  4 As 2.51, 4 Co 2.61
Co  0.5000  0.5000  0.1884  1 As 2.37, 4 Co 2.61
La  0.0000  0.0000  0.4805  5 Co 3.00-3.25, 4 La 3.21, 4 As 3.28

Computed properties:
* calculated total energy: -6.010 eV per atom
* calculated formation energy: -0.063 eV/atom
* density of states at the Fermi level: 6.44 states/eV per cell

***

[3]
# Tb5CeHo4

A relaxed Tb5CeHo4 crystal (PBE, Alexandria via LeMat-Bulk).

Cell lengths 5.8487, 7.9724, 7.9724 Å; angles 82.27, 68.48, 68.48 degrees
Last column: nearest neighbours and their distance in Å.
Positions (direct):
Tb  0.7742  0.3721  0.0000  1 Ce 3.08, 1 Tb 3.26, 2 Ho 3.30
Tb  0.1462  0.0000  0.6279  1 Ce 3.08, 1 Tb 3.26, 2 Ho 3.30
Tb  0.7742  0.0000  0.3721  1 Ce 3.08, 1 Tb 3.26, 2 Ho 3.30
Tb  0.1462  0.6279  0.0000  1 Ce 3.08, 1 Tb 3.26, 2 Ho 3.30
Tb  0.6620  0.0000  0.0000  1 Ce 2.73
Ce  0.1947  0.0000  0.0000  1 Tb 2.73
Ho  0.4532  0.3273  0.6727  3 Tb 3.30-3.64, 1 Ho 3.62
Ho  0.7805  0.6727  0.6727  3 Tb 3.30-3.64, 1 Ho 3.62
Ho  0.1259  0.3273  0.3273  3 Tb 3.30-3.64, 1 Ho 3.62
Ho  0.4532  0.6727  0.3273  3 Tb 3.30-3.64, 1 Ho 3.62

Computed properties:
* calculated total energy: -4.472 eV per atom
* relative energy among the computed polymorphs: 159 meV/atom
* calculated formation energy: 0.268 eV/atom
* density of states at the Fermi level: 15.57 states/eV per cell

***

[4]
# TcOs2Pt

A relaxed TcOs2Pt crystal (PBE, Alexandria via LeMat-Bulk).

Cell lengths 9.1955, 9.1955, 9.1955 Å; angles 17.13, 17.13, 17.13 degrees
Last column: nearest neighbours and their distance in Å.
Positions (direct):
Os  0.0033  0.0033  0.0033  3 Tc 2.69, 6 Os 2.74, 3 Pt 2.83
Os  0.4967  0.4967  0.4967  3 Tc 2.69, 6 Os 2.74, 3 Pt 2.83
Pt  0.2500  0.2500  0.2500  6 Pt 2.74, 6 Os 2.83
Tc  0.7500  0.7500  0.7500  6 Os 2.69, 6 Tc 2.74

Computed properties:
* calculated total energy: -9.643 eV per atom
* relative energy among the computed polymorphs: 45 meV/atom
* calculated formation energy: 0.074 eV/atom
* density of states at the Fermi level: 5.83 states/eV per cell

***

[5]
# Dy2Co5GeB2

A relaxed Dy2Co5GeB2 crystal (PBE, Alexandria via LeMat-Bulk).

Cell lengths 3.0852, 8.9349, 8.9349 Å; angles 90.00, 90.00, 90.00 degrees
Last column: nearest neighbours and their distance in Å.
Positions (direct):
Dy  0.0000  0.6780  0.1780  3 B 2.60-2.69, 10 Co 2.73-2.82
Dy  0.0000  0.3220  0.8220  3 B 2.60-2.69, 10 Co 2.73-2.82
Dy  0.0000  0.1780  0.3220  3 B 2.60-2.69, 10 Co 2.73-2.82
Dy  0.0000  0.8220  0.6780  3 B 2.60-2.69, 10 Co 2.73-2.82
Co  0.5000  0.2252  0.0679  2 B 2.14
Co  0.5000  0.7748  0.9321  2 B 2.14
Co  0.5000  0.0679  0.7748  2 B 2.14
Co  0.5000  0.7252  0.4321  2 B 2.14
Co  0.5000  0.9321  0.2252  2 B 2.14
Co  0.5000  0.2748  0.5679  2 B 2.14
Co  0.5000  0.5679  0.7252  2 B 2.14
Co  0.5000  0.4321  0.2748  2 B 2.14
Co  0.5000  0.5000  0.0000  4 B 2.13
Co  0.5000  0.0000  0.5000  4 B 2.13
Ge  0.0000  0.0000  0.0000  8 Co 2.61
Ge  0.0000  0.5000  0.5000  8 Co 2.61
B  0.0000  0.1165  0.6165  6 Co 2.13-2.14
B  0.0000  0.8835  0.3835  6 Co 2.13-2.14
B  0.0000  0.6165  0.8835  6 Co 2.13-2.14
B  0.0000  0.3835  0.1165  6 Co 2.13-2.14

Computed properties:
* calculated total energy: -6.671 eV per atom
* calculated formation energy: -0.400 eV/atom
* density of states at the Fermi level: 8.81 states/eV per cell

***

[6]
# Pm2Dy5Er3

A relaxed Pm2Dy5Er3 crystal (PBE, Alexandria via LeMat-Bulk).

Cell lengths 9.3767, 9.4360, 11.0981 Å; angles 125.33, 125.21, 68.74 degrees
Last column: nearest neighbours and their distance in Å.
Positions (direct):
Pm  0.7793  0.0144  0.7475  3 Er 3.15-3.43, 4 Dy 3.28-3.52
Pm  0.2207  0.9856  0.2525  3 Er 3.15-3.43, 4 Dy 3.28-3.52
Pm  0.4682  0.7331  0.7475  3 Er 3.15-3.43, 4 Dy 3.28-3.52
Pm  0.5318  0.2669  0.2525  3 Er 3.15-3.43, 4 Dy 3.28-3.52
Dy  0.2792  0.5292  0.0584  1 Dy 3.13, 4 Er 3.31-3.47
Dy  0.7208  0.4708  0.9416  1 Dy 3.13, 4 Er 3.31-3.47
Dy  0.0183  0.7683  0.5366  5 Er 3.30-3.49, 2 Pm 3.45, 2 Dy 3.56
Dy  0.5234  0.2734  0.5469  1 Dy 3.13, 2 Pm 3.28
Dy  0.9817  0.2317  0.4634  5 Er 3.30-3.49, 2 Pm 3.45, 2 Dy 3.56
Dy  0.4766  0.7266  0.4531  1 Dy 3.13, 2 Pm 3.28
Dy  0.8689  0.6131  0.7656  3 Er 3.42-3.60, 2 Pm 3.43-3.67, 3 Dy 3.51-3.66
Dy  0.1311  0.3869  0.2344  3 Er 3.42-3.60, 2 Pm 3.43-3.67, 3 Dy 3.51-3.66
Dy  0.3967  0.1525  0.7656  3 Er 3.42-3.60, 2 Pm 3.43-3.67, 3 Dy 3.51-3.66
Dy  0.6033  0.8475  0.2344  3 Er 3.42-3.60, 2 Pm 3.43-3.67, 3 Dy 3.51-3.66
Er  0.2265  0.9765  0.9529  3 Dy 3.30-3.50, 4 Pm 3.31-3.43, 2 Er 3.38
Er  0.7735  0.0235  0.0471  3 Dy 3.30-3.50, 4 Pm 3.31-3.43, 2 Er 3.38
Er  0.7301  0.4619  0.2403  1 Pm 3.15, 5 Dy 3.30-3.49, 1 Er 3.38
Er  0.2699  0.5381  0.7597  1 Pm 3.15, 5 Dy 3.30-3.49, 1 Er 3.38
Er  0.0102  0.7784  0.2403  1 Pm 3.15, 5 Dy 3.30-3.49, 1 Er 3.38
Er  0.9898  0.2216  0.7597  1 Pm 3.15, 5 Dy 3.30-3.49, 1 Er 3.38

Computed properties:
* calculated total energy: -4.422 eV per atom
* relative energy among the computed polymorphs: 0 meV/atom
* calculated formation energy: 0.198 eV/atom
* density of states at the Fermi level: 36.52 states/eV per cell

***

[7]
# Tb6DyY3

A relaxed Tb6DyY3 crystal (PBE, Alexandria via LeMat-Bulk).

Cell lengths 6.1735, 11.0311, 11.0311 Å; angles 119.78, 90.00, 90.00 degrees
Last column: nearest neighbours and their distance in Å.
Positions (direct):
Tb  0.0333  0.7112  0.6187  6 Tb 3.43-3.82, 4 Y 3.43-3.61
Tb  0.5333  0.6187  0.7112  6 Tb 3.43-3.82, 4 Y 3.43-3.61
Tb  0.3637  0.5351  0.9563  5 Tb 3.21-3.43, 2 Dy 3.29-3.44, 2 Y 3.29-3.58
Tb  0.8637  0.9563  0.5351  5 Tb 3.21-3.43, 2 Dy 3.29-3.44, 2 Y 3.29-3.58
Tb  0.4252  0.9534  0.0466  1 Dy 3.32, 4 Y 3.53-3.64, 2 Tb 3.56
Tb  0.6391  0.2812  0.7188  4 Tb 3.21-3.41, 1 Y 3.36, 2 Dy 3.40-3.41
Tb  0.1391  0.7188  0.2812  4 Tb 3.21-3.41, 1 Y 3.36, 2 Dy 3.40-3.41
Tb  0.9252  0.0466  0.9534  1 Dy 3.32, 4 Y 3.53-3.64, 2 Tb 3.56
Tb  0.3637  0.0437  0.4649  5 Tb 3.21-3.43, 2 Dy 3.29-3.44, 2 Y 3.29-3.58
Tb  0.8637  0.4649  0.0437  5 Tb 3.21-3.43, 2 Dy 3.29-3.44, 2 Y 3.29-3.58
Tb  0.0333  0.3813  0.2888  6 Tb 3.43-3.82, 4 Y 3.43-3.61
Tb  0.5333  0.2888  0.3813  6 Tb 3.43-3.82, 4 Y 3.43-3.61
Dy  0.1385  0.2063  0.7937  7 Tb 3.29-3.44, 3 Y 3.30-3.52
Dy  0.6385  0.7937  0.2063  7 Tb 3.29-3.44, 3 Y 3.30-3.52
Y  0.4596  0.9401  0.7209  6 Tb 3.29-3.64, 1 Dy 3.30
Y  0.9596  0.7209  0.9401  6 Tb 3.29-3.64, 1 Dy 3.30
Y  0.0693  0.3892  0.6108  5 Tb 3.36-3.61, 1 Dy 3.52, 2 Y 3.72
Y  0.5693  0.6108  0.3892  5 Tb 3.36-3.61, 1 Dy 3.52, 2 Y 3.72
Y  0.9596  0.0599  0.2791  6 Tb 3.29-3.64, 1 Dy 3.30
Y  0.4596  0.2791  0.0599  6 Tb 3.29-3.64, 1 Dy 3.30

Computed properties:
* calculated total energy: -5.036 eV per atom
* relative energy among the computed polymorphs: 12 meV/atom
* calculated formation energy: 0.141 eV/atom
* density of states at the Fermi level: 29.06 states/eV per cell

***

[8]
# Mg2AlIr2

A relaxed Mg2AlIr2 crystal (PBE, Alexandria via LeMat-Bulk).

Cell lengths 6.3571, 6.3571, 4.2305 Å; angles 90.00, 90.00, 90.00 degrees
Last column: nearest neighbours and their distance in Å.
Positions (direct):
Mg  0.1654  0.6654  0.5000  6 Ir 2.74-2.88, 1 Mg 2.97
Mg  0.6654  0.8346  0.5000  6 Ir 2.74-2.88, 1 Mg 2.97
Mg  0.8346  0.3346  0.5000  6 Ir 2.74-2.88, 1 Mg 2.97
Mg  0.3346  0.1654  0.5000  6 Ir 2.74-2.88, 1 Mg 2.97
Ir  0.3599  0.8599  0.0000  2 Al 2.46, 1 Ir 2.52, 2 Mg 2.74
Ir  0.8599  0.6401  0.0000  2 Al 2.46, 1 Ir 2.52, 2 Mg 2.74
Ir  0.6401  0.1401  0.0000  2 Al 2.46, 1 Ir 2.52, 2 Mg 2.74
Ir  0.1401  0.3599  0.0000  2 Al 2.46, 1 Ir 2.52, 2 Mg 2.74
Al  0.0000  0.0000  0.0000  4 Ir 2.46
Al  0.5000  0.5000  0.0000  4 Ir 2.46

Computed properties:
* calculated total energy: -5.473 eV per atom
* calculated formation energy: -0.542 eV/atom
* density of states at the Fermi level: 1.98 states/eV per cell